No. 1
La2Al5Ga3: relaxed, PBE.

As for the offset from the most stable computed form: 1.47 kJ per mole of atoms. As for the formation energy: -0.43 eV per atom.

a = 4.3332 Å, b = 4.3332 Å, c = 11.1642 Å
α = 90.00°, β = 90.00°, γ = 90.00°
Atoms (fractional coordinates):
La: 0.0000 0.5000 0.2476
La: 0.5000 0.0000 0.7524
Al: 0.0000 0.0000 0.0000
Al: 0.0000 0.0000 0.5000
Al: 0.0000 0.5000 0.8621
Al: 0.5000 0.0000 0.1379
Al: 0.5000 0.5000 0.0000
Ga: 0.0000 0.5000 0.6350
Ga: 0.5000 0.0000 0.3650
Ga: 0.5000 0.5000 0.5000

No. 2
Gd3NiSn: relaxed, PBE.

As for the formation energy: -0.37 eV per atom.

a = 5.2173 Å, b = 5.2173 Å, c = 5.2173 Å
α = 90.00°, β = 90.00°, γ = 90.00°
Atoms (fractional coordinates):
Gd: 0.0000 0.0000 0.5000
Gd: 0.0000 0.5000 0.0000
Gd: 0.5000 0.0000 0.0000
Ni: 0.0000 0.0000 0.0000
Sn: 0.5000 0.5000 0.5000

No. 3
Sc3InAg3Se8: relaxed, PBE.

The formation energy from raw total energies comes out at -890 meV/atom.

a = 7.8432 Å, b = 7.8432 Å, c = 8.0103 Å
α = 119.44°, β = 119.44°, γ = 60.00°
Atoms (fractional coordinates):
Sc: 0.0000 0.0000 0.0000
Sc: 0.0000 0.5000 0.0000
Sc: 0.5000 0.0000 0.0000
In: 0.5000 0.5000 0.0000
Ag: 0.0000 0.5000 0.5000
Ag: 0.5000 0.0000 0.5000
Ag: 0.5000 0.5000 0.5000
Se: 0.2422 0.7489 0.2389
Se: 0.2428 0.2428 0.2272
Se: 0.2513 0.2513 0.7613
Se: 0.2511 0.7578 0.7611
Se: 0.7489 0.2422 0.2389
Se: 0.7487 0.7487 0.2387
Se: 0.7572 0.7572 0.7728
Se: 0.7578 0.2511 0.7611

| no. | density of states at the Fermi level (states/eV/cell) |
| --- | --- |
| 1 | 5.64 |
| 2 | 5.00 |
| 3 | 5.76 |